Record 1
First-principles (PBE) data for a geometry-optimized LuUAs2 structure, as listed in the Alexandria database.

Cell: 4.0291 4.0291 20.1530 Å, 90.00 90.00 120.00°
Space group R-3m (No. 166, hexagonal axes)
Asymmetric unit:
Lu 0.0000 0.0000 0.0000 (multiplicity 3)
U 0.0000 0.0000 0.5000 (multiplicity 3)
As 0.0000 0.0000 0.2517 (multiplicity 6)

Results
Calculated volume in Å³/atom: 23.6
ρ in Mg/m³: 9.896
Energy of formation in eV per atom: -1.101

Record 2
First-principles (PBE) data for a geometry-optimized YLuAs structure, as listed in the Alexandria database.

Cell: 3.9447 3.9447 6.3232 Å, 90.00 90.00 120.00°
Space group P3m1 (No. 156)
Asymmetric unit:
Y 0.0000 0.0000 0.0000 (multiplicity 1)
Lu 0.3333 0.6667 0.4770 (multiplicity 1)
As 0.6667 0.3333 0.7322 (multiplicity 1)

Results
Calculated volume in Å³/atom: 28.4
ρ in Mg/m³: 6.602
Energy of formation in eV per atom: -0.849

Record 3
First-principles (PBE) data for a geometry-optimized Lu2ZnAs structure, as listed in the Alexandria database.

Cell: 3.7863 3.7863 27.8624 Å, 90.00 90.00 120.00°
Space group R-3m (No. 166, hexagonal axes)
Asymmetric unit:
Lu 0.0000 0.0000 0.1063 (multiplicity 6)
Zn 0.0000 0.0000 0.0000 (multiplicity 3)
As 0.0000 0.0000 0.5000 (multiplicity 3)

Results
Calculated volume in Å³/atom: 28.8
ρ in Mg/m³: 7.060
Energy of formation in eV per atom: -0.294

Record 4
First-principles (PBE) data for a geometry-optimized Mg5As3 structure, as listed in the Alexandria database.

Cell: 5.8570 14.7723 7.8476 Å, 90.00 108.85 90.00°
Space group Cm (No. 8)
Asymmetric unit:
Mg 0.0000 0.0000 0.0000 (multiplicity 2)
Mg 0.0032 0.5000 0.0134 (multiplicity 2)
Mg 0.0512 0.0994 0.6452 (multiplicity 4)
Mg 0.1041 0.3188 0.8074 (multiplicity 4)
Mg 0.3914 0.3189 0.2033 (multiplicity 4)
Mg 0.4438 0.0990 0.3668 (multiplicity 4)
As 0.0970 0.5000 0.6948 (multiplicity 2)
As 0.2486 0.2504 0.5052 (multiplicity 4)
As 0.2504 0.1585 0.0055 (multiplicity 4)
As 0.4075 0.5000 0.3184 (multiplicity 2)

Results
Calculated volume in Å³/atom: 20.1
ρ in Mg/m³: 3.580
Energy of formation in eV per atom: -0.423

Record 5
First-principles (PBE) data for a geometry-optimized MgAs3 structure, as listed in the Alexandria database.

Cell: 3.1209 3.1209 9.3607 Å, 90.00 90.00 120.00°
Space group P-6m2 (No. 187)
Asymmetric unit:
Mg 0.0000 0.0000 0.0000 (multiplicity 1)
As 0.0000 0.0000 0.5000 (multiplicity 1)
As 0.3333 0.6667 0.2410 (multiplicity 2)

Results
Calculated volume in Å³/atom: 19.7
ρ in Mg/m³: 5.238
Energy of formation in eV per atom: 0.258

Record 6
First-principles (PBE) data for a geometry-optimized MgAs2 structure, as listed in the Alexandria database.

Cell: 3.9837 3.9837 4.0912 Å, 90.00 90.00 90.00°
Space group P4/mmm (No. 123)
Asymmetric unit:
Mg 0.0000 0.0000 0.0000 (multiplicity 1)
As 0.0000 0.5000 0.5000 (multiplicity 2)

Results
Calculated volume in Å³/atom: 21.6
ρ in Mg/m³: 4.454
Energy of formation in eV per atom: -0.165

What did the sixth record say?
First-principles (PBE) data for a geometry-optimized MgAs2 structure, as listed in the Alexandria database.

Cell: 3.9837 3.9837 4.0912 Å, 90.00 90.00 90.00°
Space group P4/mmm (No. 123)
Asymmetric unit:
Mg 0.0000 0.0000 0.0000 (multiplicity 1)
As 0.0000 0.5000 0.5000 (multiplicity 2)

Results
Calculated volume in Å³/atom: 21.6
ρ in Mg/m³: 4.454
Energy of formation in eV per atom: -0.165